The following is a DFT calculation (PBE) of a relaxed structure of La2Mg4CoPd.

Cell and atoms, written as POSCAR:
```
La2Mg4CoPd
1.0
8.406 0.000 0.000
0.000 2.116 5.185
0.000 -2.116 5.185
La Mg Co Pd
2 4 1 1
Direct
0.000 0.000 0.000
0.500 0.122 0.122
0.202 0.716 0.716
0.311 0.407 0.407
0.689 0.407 0.407
0.798 0.716 0.716
0.500 0.836 0.836
0.000 0.286 0.286
```

## Properties
**Final energy**: -3.851 eV per atom
**SG**: No. 38